CeCu10Ni2 | PBE-GGA | optimized geometry

a = 4.8582 Å, b = 6.3630 Å, c = 6.5139 Å
α = 81.82°, β = 68.10°, γ = 67.56°
Each line ends with the local moment (μB).
Positions (direct):
Ce 0.0000 0.0000 0.0000  -0.37
Cu 0.3543 0.6406 0.6507  0.00
Cu 0.6457 0.3594 0.3493  0.00
Cu 0.9949 0.3594 0.6507  0.00
Cu 0.0051 0.6406 0.3493  0.00
Cu 0.0000 0.0000 0.5000  0.00
Cu 0.5000 0.0000 0.5000  0.00
Cu 0.2762 0.2244 0.2231  0.00
Cu 0.7238 0.7756 0.7769  0.00
Cu 0.5006 0.7756 0.2231  0.00
Cu 0.4994 0.2244 0.7769  0.00
Ni 0.0000 0.5000 0.0000  0.02
Ni 0.5000 0.5000 0.0000  0.02

Summary:
ΔE_f ... -0.07 eV per atom